Below is a relaxed structure of Y3VO7, with properties calculated at the GGA+U level.

a = 6.428 Å, b = 6.428 Å, c = 7.332 Å
α = 90.00°, β = 90.00°, γ = 108.09°
Sites, in units of the cell vectors:
Y 0.040 0.497 0.261
Y 0.049 0.049 0.000
Y 0.497 0.040 0.739
Y 0.503 0.960 0.239
Y 0.951 0.951 0.500
Y 0.960 0.503 0.761
V 0.494 0.494 0.500
V 0.506 0.506 0.000
O 0.129 0.871 0.750
O 0.140 0.860 0.250
O 0.179 0.425 0.978
O 0.209 0.459 0.546
O 0.425 0.179 0.022
O 0.441 0.559 0.250
O 0.459 0.209 0.454
O 0.541 0.791 0.954
O 0.559 0.441 0.750
O 0.575 0.821 0.522
O 0.791 0.541 0.046
O 0.821 0.575 0.478
O 0.860 0.140 0.750
O 0.871 0.129 0.250

Output
electronic total energy = -95.06 eV/f.u.
volume = 288 Å³/cell